Computed, not measured: a relaxed Pu2H4Rh crystal at the PBE level of DFT.

Values from the calculation:
Relative energy among the computed polymorphs ... 0.077 eV per atom
DFT total energy ... -7.38 eV/atom
Space group ... P2_1/m
Total magnetic moment ... 22.32 Bohr magnetons per cell

extended XYZ file:
```
14
Lattice="4.2525 0.0000 0.0000 0.0000 5.0096 0.0000 -0.2419 0.0000 7.7862" Properties=species:S:1:pos:R:3 pbc="T T T"
Pu 0.9864 1.2524 0.9718
Pu 0.9282 3.7572 3.6916
Pu 3.0825 1.2524 4.0946
Pu 3.0242 3.7572 6.8144
H 0.9454 1.2524 3.2434
H 0.8933 2.9318 5.9605
H 0.8933 4.5827 5.9605
H 1.1763 3.7572 1.1327
H 2.8344 1.2524 6.6535
H 3.1174 0.4270 1.8257
H 3.1174 2.0778 1.8257
H 3.0653 3.7572 4.5428
Rh 1.0691 1.2524 6.0953
Rh 2.9416 3.7572 1.6909
```

=====

Computed, not measured: a relaxed Pr6S5Br crystal at the PBE level of DFT.

Values from the calculation:
DFT total energy ... -6.12 eV/atom
Formation energy without anion corrections ... -1.873 eV per atom
Space group ... C2/m
Total magnetic moment ... 0.00 Bohr magnetons per cell

extended XYZ file:
```
12
Lattice="3.5959 -6.1957 0.0000 3.5959 6.1957 0.0000 -2.3807 0.0000 6.7620" Properties=species:S:1:pos:R:3 pbc="T T T"
Pr -0.0607 2.1893 4.9525
Pr 1.0502 0.0000 1.7719
Pr -0.0607 -2.1893 4.9525
Pr 4.8717 2.1893 1.8095
Pr 3.7609 0.0000 4.9901
Pr 4.8717 -2.1893 1.8095
S -1.1904 0.0000 3.3810
S 3.5959 4.1114 0.0000
S 2.4055 1.9616 3.3810
S 2.4055 -1.9616 3.3810
S 3.5959 -4.1114 0.0000
Br 3.5959 0.0000 0.0000
```

=====

Computed, not measured: a relaxed Cs7LiAu5O2 crystal at the PBE level of DFT.

Values from the calculation:
Relative energy among the computed polymorphs ... 0.000 eV per atom
DFT total energy ... -2.87 eV/atom
Formation energy without anion corrections ... -0.588 eV per atom
Space group ... P1
Total magnetic moment ... 0.00 Bohr magnetons per cell

extended XYZ file:
```
15
Lattice="6.2133 0.0000 0.0000 0.1683 9.8089 0.0000 2.3593 3.0676 10.0627" Properties=species:S:1:pos:R:3 pbc="T T T"
Cs 0.0000 0.0000 0.0000
Cs 2.8144 8.4138 9.8118
Cs 2.7780 5.7494 6.8217
Cs 2.8537 8.7966 3.7392
Cs 3.6378 3.9264 2.4314
Cs 5.4932 2.7958 7.2053
Cs 5.9185 8.5182 6.6786
Li 1.8668 2.8004 5.3426
Au 2.7230 10.5858 6.9320
Au 3.5007 7.3087 0.2808
Au 5.8970 5.8156 9.1659
Au 6.7178 4.8359 4.1774
Au 6.5644 1.8964 3.4569
O 2.4857 2.8320 7.0642
O 2.8121 8.5690 6.7872
```

=====

Computed, not measured: a relaxed Tl2AgP crystal at the PBE level of DFT.

Values from the calculation:
Energy relative to the elements ... 23 kJ/mol of atoms
Relative energy among the computed polymorphs ... 0.175 eV per atom
DFT total energy ... -3.01 eV/atom
Space group ... Imm2
Total magnetic moment ... 0.00 Bohr magnetons per cell

extended XYZ file:
```
4
Lattice="-1.8561 2.1991 6.3585 1.8561 -2.1991 6.3585 1.8561 2.1991 -6.3585" Properties=species:S:1:pos:R:3 pbc="T T T"
Tl 0.0000 0.0000 0.0000
Tl 0.0000 2.1991 2.6219
Ag 0.0000 0.0000 5.3343
P 1.8561 0.0000 3.6566
```

=====

no.,Fermi-level density of states (states/eV per atom)
1,2.2214
2,0.4134
3,0.3458
4,0.4601